YAlPIr2: relaxed, PBE.

Cell: 4.5684 4.5684 4.6423 Å, 90.00 90.00 90.00°
Last column: nearest neighbours and their distance in Å.
Space group P4/mmm (No. 123)
One atom of each set of equivalent atoms:
Y1 0.0000 0.0000 0.0000 (multiplicity 1)  4 P 3.23, 8 Ir 3.26
Al1 0.5000 0.5000 0.5000 (multiplicity 1)  4 Ir 2.28, 2 P 2.32
P1 0.5000 0.5000 0.0000 (multiplicity 1)  2 Al 2.32
Ir1 0.0000 0.5000 0.5000 (multiplicity 2)  2 Al 2.28

## Properties
ρ: 9.1 g cm⁻³
Calculated total energy: -6.54 eV/atom